Entry 1:
# PmIn3Cu2 | the Alexandria database | PBE | relaxed
data_PmIn3Cu2
_chemical_formula_sum 'Pm4 In12 Cu8'
_space_group_name_H-M_alt 'I m m m'
_space_group_IT_number 71
_space_group_name_Hall '-I 2 2'
_cell_length_a 4.3840
_cell_length_b 8.3548
_cell_length_c 14.1684
_cell_angle_alpha 90.00
_cell_angle_beta 90.00
_cell_angle_gamma 90.00
loop_
_atom_site_label
_atom_site_type_symbol
_atom_site_fract_x
_atom_site_fract_y
_atom_site_fract_z
Pm1 Pm 0.0000 0.0000 0.1282
In1 In 0.0000 0.1981 0.3321
In2 In 0.0000 0.3343 0.0000
Cu1 Cu 0.0000 0.3539 0.5000
Cu2 Cu 0.0000 0.5000 0.2008
# **Calculated formation energy**: -0.230 eV per atom
# **DOS at the Fermi energy**: 0.448 states/eV/atom
# **Total moment**: 0.000 μB/atom
# **Mass density**: 7.9 g/cm3


Entry 2:
# HfMn2P | the Alexandria database | PBE | relaxed
data_HfMn2P
_chemical_formula_sum 'Hf4 Mn8 P4'
_space_group_name_H-M_alt 'I -4 2 d'
_space_group_IT_number 122
_space_group_name_Hall 'I -4 2bw'
_cell_length_a 7.0395
_cell_length_b 7.0395
_cell_length_c 5.1496
_cell_angle_alpha 90.00
_cell_angle_beta 90.00
_cell_angle_gamma 90.00
loop_
_atom_site_label
_atom_site_type_symbol
_atom_site_fract_x
_atom_site_fract_y
_atom_site_fract_z
Hf1 Hf 0.0000 0.0000 0.0000
Mn1 Mn 0.1819 0.7500 0.6250
P1 P 0.0000 0.0000 0.5000
# **Calculated formation energy**: -0.074 eV per atom
# **DOS at the Fermi energy**: 0.901 states/eV/atom
# **Total moment**: 1.273 μB/atom
# **Mass density**: 8.3 g/cm3


- What is the formula in the second record?
  HfMn2P